No. 1
Computed, not measured: a relaxed CsTe2C crystal at the PBE level of DFT.

Properties
E_tot	-3.619	eV per atom
SG	No. 122
size of the total moment	0.0	μB per formula unit
E above lowest polymorph	0	meV per atom

Lattice parameters (Å, degrees): 7.071 7.071 7.071 114.53 114.53 99.77
Fractional coordinates of all 8 atoms:
1 Cs 0.750 0.250 0.500
2 Cs 0.000 0.000 0.000
3 Te 0.283 0.625 0.158
4 Te 0.467 0.125 0.842
5 Te 0.375 0.533 0.658
6 Te 0.875 0.717 0.342
7 C 0.250 0.750 0.500
8 C 0.500 0.500 0.000

=====

No. 2
Computed, not measured: a relaxed CsTiC2 crystal at the PBE level of DFT.

Properties
E_tot	-5.737	eV per atom
SG	No. 141
size of the total moment	0.0	μB per formula unit

Lattice parameters (Å, degrees): 6.471 6.471 6.646 60.86 60.86 90.00
Fractional coordinates of all 8 atoms:
1 Cs 0.000 0.000 0.000
2 Cs 0.750 0.250 0.500
3 C 0.375 0.125 0.250
4 C 0.375 0.625 0.250
5 C 0.375 0.625 0.750
6 C 0.875 0.625 0.750
7 Ti 0.500 0.500 0.000
8 Ti 0.250 0.750 0.500

=====

No. 3
Computed, not measured: a relaxed Cs2TiC crystal at the PBE level of DFT.

Properties
E_tot	-2.528	eV per atom
SG	No. 225
size of the total moment	2.0	μB per formula unit

Lattice parameters (Å, degrees): 5.745 5.745 5.745 60.00 60.00 60.00
Fractional coordinates of all 4 atoms:
1 Cs 0.250 0.250 0.250
2 Cs 0.750 0.750 0.750
3 C 0.000 0.000 0.000
4 Ti 0.500 0.500 0.500

=====

No. 4
Computed, not measured: a relaxed CsTiWC2 crystal at the PBE level of DFT.

Properties
E_tot	-6.422	eV per atom
SG	No. 123
size of the total moment	0.0	μB per formula unit

Lattice parameters (Å, degrees): 4.237 5.100 4.237 90.00 90.00 90.00
Fractional coordinates of all 5 atoms:
1 Cs 0.500 0.500 0.500
2 C 0.000 0.000 0.500
3 C 0.500 0.000 0.000
4 W 0.000 0.000 0.000
5 Ti 0.000 0.500 0.000

=====

No. 5
Computed, not measured: a relaxed CsTlC2 crystal at the PBE level of DFT.

Properties
E_tot	-2.726	eV per atom
SG	No. 225
size of the total moment	0.0	μB per formula unit
E above lowest polymorph	488	meV per atom

Lattice parameters (Å, degrees): 4.923 4.923 4.923 60.00 60.00 60.00
Fractional coordinates of all 4 atoms:
1 Cs 0.000 0.000 0.000
2 Tl 0.500 0.500 0.500
3 C 0.250 0.250 0.250
4 C 0.750 0.750 0.750

=====

No. 6
Computed, not measured: a relaxed CsTlC3 crystal at the PBE level of DFT.

Properties
E_tot	-3.141	eV per atom
SG	No. 221
size of the total moment	5.2	μB per formula unit
E above lowest polymorph	0	meV per atom

Lattice parameters (Å, degrees): 4.839 4.839 4.839 90.00 90.00 90.00
Fractional coordinates of all 5 atoms:
1 Cs 0.500 0.500 0.500
2 Tl 0.000 0.000 0.000
3 C 0.000 0.500 0.000
4 C 0.000 0.000 0.500
5 C 0.500 0.000 0.000

=====

No. 7
Computed, not measured: a relaxed CsTlC2 crystal at the PBE level of DFT.

Properties
E_tot	-3.215	eV per atom
SG	No. 141
size of the total moment	0.0	μB per formula unit
E above lowest polymorph	0	meV per atom

Lattice parameters (Å, degrees): 5.144 5.144 8.413 72.20 72.20 90.00
Fractional coordinates of all 8 atoms:
1 Cs 0.500 0.500 0.000
2 Cs 0.250 0.750 0.500
3 Tl 0.000 0.000 0.000
4 Tl 0.750 0.250 0.500
5 C 0.875 0.125 0.250
6 C 0.875 0.625 0.250
7 C 0.375 0.125 0.750
8 C 0.875 0.125 0.750

=====

No. 8
Computed, not measured: a relaxed CsTlC3 crystal at the PBE level of DFT.

Properties
E_tot	-2.281	eV per atom
SG	No. 221
size of the total moment	0.0	μB per formula unit
E above lowest polymorph	860	meV per atom

Lattice parameters (Å, degrees): 4.790 4.790 4.790 90.00 90.00 90.00
Fractional coordinates of all 5 atoms:
1 Cs 0.000 0.000 0.000
2 Tl 0.500 0.500 0.500
3 C 0.000 0.500 0.000
4 C 0.000 0.000 0.500
5 C 0.500 0.000 0.000